Record 1
VASP calculation (PBE) on a geometry-optimized PmHo2CdN structure.

Lattice parameters (Å, degrees): 5.0053 4.8017 4.8017 90.00 90.00 90.00
With the nearest neighbours (Å) after each atom.
Positions (direct):
N 0.0000 0.0000 0.0000  4 Ho 2.40, 2 Pm 2.50
Pm 0.5000 0.0000 0.0000  2 N 2.50
Ho 0.0000 0.0000 0.5000  2 N 2.40
Ho 0.0000 0.5000 0.0000  2 N 2.40
Cd 0.5000 0.5000 0.5000  4 Pm 3.40, 8 Ho 3.47

Values from the calculation:
Energy relative to the elements, uncorrected (eV per atom): -0.815
DOS(E_F) (states/eV/f.u.): 4.4
SG: No. 123
Crystal system: tetragonal
M_tot (μB/f.u.): 0.000


Record 2
VASP calculation (PBE) on a geometry-optimized HoSc2CdN structure.

Lattice parameters (Å, degrees): 4.7679 4.5077 4.5077 90.00 90.00 90.00
With the nearest neighbours (Å) after each atom.
Positions (direct):
Ho 0.5000 0.0000 0.0000  2 N 2.38
Sc 0.0000 0.0000 0.5000  2 N 2.25
Cd 0.5000 0.5000 0.5000  4 Ho 3.19, 8 Sc 3.28
Sc 0.0000 0.5000 0.0000  2 N 2.25
N 0.0000 0.0000 0.0000  4 Sc 2.25, 2 Ho 2.38

Values from the calculation:
Energy relative to the elements, uncorrected (eV per atom): -0.929
DOS(E_F) (states/eV/f.u.): 4.4
SG: No. 123
Crystal system: tetragonal
M_tot (μB/f.u.): 0.000


Record 3
VASP calculation (PBE) on a geometry-optimized TbHo2CdN structure.

Lattice parameters (Å, degrees): 4.8618 4.7977 4.7977 90.00 90.00 90.00
With the nearest neighbours (Å) after each atom.
Positions (direct):
N 0.0000 0.0000 0.0000  4 Ho 2.40, 2 Tb 2.43
Ho 0.0000 0.5000 0.0000  2 N 2.40
Cd 0.5000 0.5000 0.5000  4 Tb 3.39, 8 Ho 3.42
Ho 0.0000 0.0000 0.5000  2 N 2.40
Tb 0.5000 0.0000 0.0000  2 N 2.43

Values from the calculation:
Energy relative to the elements, uncorrected (eV per atom): -0.853
DOS(E_F) (states/eV/f.u.): 4.4
SG: No. 123
Crystal system: tetragonal
M_tot (μB/f.u.): 0.000


Record 4
VASP calculation (PBE) on a geometry-optimized Tb2HoCdN structure.

Lattice parameters (Å, degrees): 4.7900 4.8629 4.8629 90.00 90.00 90.00
With the nearest neighbours (Å) after each atom.
Positions (direct):
Cd 0.5000 0.5000 0.5000  8 Tb 3.41, 4 Ho 3.44
Tb 0.0000 0.0000 0.5000  2 N 2.43
Ho 0.5000 0.0000 0.0000  2 N 2.40
Tb 0.0000 0.5000 0.0000  2 N 2.43
N 0.0000 0.0000 0.0000  2 Ho 2.40, 4 Tb 2.43

Values from the calculation:
Energy relative to the elements, uncorrected (eV per atom): -0.843
DOS(E_F) (states/eV/f.u.): 4.5
SG: No. 123
Crystal system: tetragonal
M_tot (μB/f.u.): 0.000


Record 5
VASP calculation (PBE) on a geometry-optimized Y2HoCdN structure.

Lattice parameters (Å, degrees): 4.7997 4.8419 4.8419 90.00 90.00 90.00
With the nearest neighbours (Å) after each atom.
Positions (direct):
Cd 0.5000 0.5000 0.5000  8 Y 3.41, 4 Ho 3.42
Y 0.0000 0.5000 0.0000  2 N 2.42
N 0.0000 0.0000 0.0000  2 Ho 2.40, 4 Y 2.42
Ho 0.5000 0.0000 0.0000  2 N 2.40
Y 0.0000 0.0000 0.5000  2 N 2.42

Values from the calculation:
Energy relative to the elements, uncorrected (eV per atom): -0.865
DOS(E_F) (states/eV/f.u.): 4.8
SG: No. 123
Crystal system: tetragonal
M_tot (μB/f.u.): 0.000


Record 6
VASP calculation (PBE) on a geometry-optimized YHo2CdN structure.

Lattice parameters (Å, degrees): 4.8400 4.8005 4.8005 90.00 90.00 90.00
With the nearest neighbours (Å) after each atom.
Positions (direct):
Cd 0.5000 0.5000 0.5000  4 Y 3.39, 8 Ho 3.41
Y 0.5000 0.0000 0.0000  2 N 2.42
Ho 0.0000 0.0000 0.5000  2 N 2.40
N 0.0000 0.0000 0.0000  4 Ho 2.40, 2 Y 2.42
Ho 0.0000 0.5000 0.0000  2 N 2.40

Values from the calculation:
Energy relative to the elements, uncorrected (eV per atom): -0.864
DOS(E_F) (states/eV/f.u.): 4.7
SG: No. 123
Crystal system: tetragonal
M_tot (μB/f.u.): 0.000


Record 7
VASP calculation (PBE) on a geometry-optimized NaHo3Cd4 structure.

Lattice parameters (Å, degrees): 3.6974 3.6974 15.2195 90.00 90.00 90.00
With the nearest neighbours (Å) after each atom.
Positions (direct):
Ho 0.5000 0.5000 0.5000  8 Cd 3.21
Cd 0.0000 0.0000 0.1312  4 Ho 3.20, 4 Na 3.29
Cd 0.0000 0.0000 0.6229  8 Ho 3.21-3.23
Na 0.5000 0.5000 0.0000  8 Cd 3.29
Cd 0.0000 0.0000 0.3771  8 Ho 3.21-3.23
Ho 0.5000 0.5000 0.7473  8 Cd 3.20-3.23
Ho 0.5000 0.5000 0.2527  8 Cd 3.20-3.23
Cd 0.0000 0.0000 0.8688  4 Ho 3.20, 4 Na 3.29

Values from the calculation:
Formation energy (meV per atom): -246
DOS(E_F) (states/eV/f.u.): 5.5
SG: No. 123
Crystal system: tetragonal
M_tot (μB/f.u.): 0.000


Record 8
VASP calculation (PBE) on a geometry-optimized Na2HoCd5 structure.

Lattice parameters (Å, degrees): 4.6036 4.6036 9.9082 103.43 103.43 90.00
With the nearest neighbours (Å) after each atom.
Positions (direct):
Na 0.7521 0.7521 0.5042  4 Na 3.26, 8 Cd 3.30-3.35
Cd 0.6217 0.1217 0.2434  6 Cd 3.24-3.26, 2 Ho 3.24, 4 Na 3.30-3.35
Cd 0.1217 0.6217 0.2434  2 Ho 3.24, 6 Cd 3.24-3.26, 4 Na 3.30-3.35
Cd 0.8783 0.3783 0.7566  2 Ho 3.24, 6 Cd 3.24-3.26, 4 Na 3.30-3.35
Cd 0.3783 0.8783 0.7566  6 Cd 3.24-3.26, 2 Ho 3.24, 4 Na 3.30-3.35
Ho 0.0000 0.0000 0.0000  12 Cd 3.24-3.26
Na 0.2479 0.2479 0.4958  4 Na 3.26, 8 Cd 3.30-3.35
Cd 0.5000 0.5000 0.0000  8 Cd 3.24, 4 Ho 3.26

Values from the calculation:
Formation energy (meV per atom): -137
DOS(E_F) (states/eV/f.u.): 4.5
SG: No. 139
Crystal system: tetragonal
M_tot (μB/f.u.): 0.000


The records above yield calculated total energy values of -5.444 -6.225 -5.458 -5.458 -6.214 -5.836 -2.585 -1.611 eV/atom, respectively.
The records above yield calculated volume values of 115.4 96.9 111.9 113.3 112.5 111.5 208.1 198.3 Å³ per cell, respectively.